A plane-wave DFT calculation with GGA-PBE was carried out for Rb2Pd2S3 after structural relaxation.

- ΔE_f (raw): -0.57 eV per atom
- Calculated volume: 25.77 Å³ per atom

Cell: 6.8091 7.1605 8.0113 Å, 90.00 112.54 90.00°
Space group P2_1/c (No. 14)
Asymmetric unit:
Rb 0.1914 0.1058 0.4160 (multiplicity 4)
Pd 0.3605 0.5908 0.5683 (multiplicity 4)
S 0.0000 0.0000 0.0000 (multiplicity 2)
S 0.3982 0.6599 0.2890 (multiplicity 4)

=====

A plane-wave DFT calculation with GGA-PBE was carried out for RbScPdS2 after structural relaxation.

- ΔE_f (raw): -1.31 eV per atom
- Calculated volume: 25.82 Å³ per atom

Cell: 7.6390 5.0912 6.8459 Å, 90.00 104.10 90.00°
Space group P2/c (No. 13)
Asymmetric unit:
Rb 0.0000 0.1891 0.2500 (multiplicity 2)
Sc 0.5000 0.4869 0.7500 (multiplicity 2)
Pd 0.5000 0.0000 0.0000 (multiplicity 2)
S 0.2785 0.3255 0.9464 (multiplicity 4)

=====

A plane-wave DFT calculation with GGA-PBE was carried out for Rb2SiPdS after structural relaxation.

- ΔE_f (raw): 0.35 eV per atom
- Calculated volume: 39.79 Å³ per atom

Cell: 6.7614 6.7614 4.3515 Å, 90.00 90.00 90.00°
Space group P4/mmm (No. 123)
Asymmetric unit:
Rb 0.0000 0.5000 0.0000 (multiplicity 2)
Si 0.0000 0.0000 0.0000 (multiplicity 1)
Pd 0.5000 0.5000 0.5000 (multiplicity 1)
S 0.0000 0.0000 0.5000 (multiplicity 1)

=====

A plane-wave DFT calculation with GGA-PBE was carried out for RbSnPdS2 after structural relaxation.

- ΔE_f (raw): 0.18 eV per atom
- Calculated volume: 25.93 Å³ per atom

Cell: 4.9210 4.9210 5.3543 Å, 90.00 90.00 90.00°
Space group P4/mmm (No. 123)
Asymmetric unit:
Rb 0.0000 0.0000 0.0000 (multiplicity 1)
Sn 0.5000 0.5000 0.0000 (multiplicity 1)
Pd 0.0000 0.0000 0.5000 (multiplicity 1)
S 0.0000 0.5000 0.5000 (multiplicity 2)

=====

A plane-wave DFT calculation with GGA-PBE was carried out for Rb2SnPdS4 after structural relaxation.

- ΔE_f (raw): -0.67 eV per atom
- Calculated volume: 35.34 Å³ per atom

Cell: 6.9288 15.7871 20.6750 Å, 90.00 90.00 90.00°
Space group Fddd (No. 70, origin choice 2)
Asymmetric unit:
Rb 0.1250 0.1250 0.2894 (multiplicity 16)
Sn 0.1250 0.1250 0.6250 (multiplicity 8)
Pd 0.1250 0.1250 0.1250 (multiplicity 8)
S 0.1156 0.2752 0.4025 (multiplicity 32)

=====

A plane-wave DFT calculation with GGA-PBE was carried out for RbTaPd2S after structural relaxation.

- ΔE_f (raw): 0.32 eV per atom
- Calculated volume: 21.64 Å³ per atom

Cell: 4.8425 4.8425 4.6141 Å, 90.00 90.00 90.00°
Space group P4/mmm (No. 123)
Asymmetric unit:
Rb 0.0000 0.0000 0.0000 (multiplicity 1)
Ta 0.5000 0.5000 0.0000 (multiplicity 1)
Pd 0.0000 0.5000 0.5000 (multiplicity 2)
S 0.5000 0.5000 0.5000 (multiplicity 1)